## CaSbMo (PBE)

Data for an optimized crystal structure of CaSbMo.

The value obtained for the total moment is 0.222 μB per formula unit. As for the formation energy without anion corrections: 0.37 eV per atom.

It has space group F-43m (No. 216), with a = 6.714 Å, b = 6.714 Å, c = 6.714 Å, α = 90.00°, β = 90.00° and γ = 90.00°. The asymmetric unit holds Ca at (0.000, 0.000, 0.000), Sb at (0.250, 0.250, 0.250) and Mo at (0.000, 0.000, 0.500).

## TbPm2Sm12 (PBE)

Data for an optimized crystal structure of TbPm2Sm12.

The value obtained for the total moment is 0.000 μB per formula unit. Its formation enthalpy at 0 K is 156 meV/atom.

It has space group Cmme (No. 67), with a = 7.167 Å, b = 11.548 Å, c = 24.955 Å, α = 90.00°, β = 90.00° and γ = 90.00°. The asymmetric unit holds Tb at (0.000, 0.250, 0.000), Pm at (0.000, 0.250, 0.266), Pm at (0.000, 0.250, 0.727), Sm at (0.000, 0.001, 0.076), Sm at (0.000, 0.023, 0.560), Sm at (0.231, 0.250, 0.417), Sm at (0.249, 0.250, 0.873), Sm at (0.250, 0.000, 0.199) and Sm at (0.250, 0.000, 0.327).

## Hg2B2Au (PBE)

Data for an optimized crystal structure of Hg2B2Au.

The value obtained for the total moment is 0.000 μB per formula unit. Its formation enthalpy at 0 K is 1450 meV/atom.

It has space group P4/mbm (No. 127), with a = 7.408 Å, b = 7.408 Å, c = 3.089 Å, α = 90.00°, β = 90.00° and γ = 90.00°. The asymmetric unit holds Hg at (0.146, 0.354, 0.000), B at (0.159, 0.659, 0.500) and Au at (0.000, 0.000, 0.000).

## CaNd2Ni2 (PBE)

Data for an optimized crystal structure of CaNd2Ni2.

The value obtained for the total moment is 0.000 μB per formula unit. Its formation enthalpy at 0 K is -105 meV/atom.

It has space group C2/m (No. 12), with a = 12.123 Å, b = 3.940 Å, c = 5.476 Å, α = 90.00°, β = 102.16° and γ = 90.00°. The asymmetric unit holds Ca at (0.000, 0.000, 0.000), Nd at (0.146, 0.500, 0.578) and Ni at (0.227, 0.500, 0.117).

## Rb2MgTlCu (PBE)

Data for an optimized crystal structure of Rb2MgTlCu.

The value obtained for the total moment is 0.000 μB per formula unit. Its formation enthalpy at 0 K is 445 meV/atom.

It has space group P4/mmm (No. 123), with a = 7.067 Å, b = 7.067 Å, c = 4.853 Å, α = 90.00°, β = 90.00° and γ = 90.00°. The asymmetric unit holds Rb at (0.000, 0.500, 0.000), Mg at (0.000, 0.000, 0.000), Tl at (0.500, 0.500, 0.500) and Cu at (0.000, 0.000, 0.500).

## Pm2TmPb (PBE)

Data for an optimized crystal structure of Pm2TmPb.

The value obtained for the total moment is 0.000 μB per formula unit. Its formation enthalpy at 0 K is 37 meV/atom.

It has space group R-3m (No. 166, hexagonal axes), with a = 3.5705 Å, b = 3.5705 Å, c = 36.6097 Å, α = 90.00°, β = 90.00° and γ = 120.00°. The asymmetric unit holds Pm at (0.0000, 0.0000, 0.0887), Tm at (0.0000, 0.0000, 0.5000) and Pb at (0.0000, 0.0000, 0.0000).

## Ba2LaTbSe4 (PBE)

Data for an optimized crystal structure of Ba2LaTbSe4.

The value obtained for the total moment is 0.000 μB per formula unit. As for the formation energy without anion corrections: -1.93 eV per atom.

It has space group P2/m (No. 10), with a = 7.591 Å, b = 4.386 Å, c = 7.842 Å, α = 90.00°, β = 108.83° and γ = 90.00°. The asymmetric unit holds Ba at (0.000, 0.000, 0.000), Ba at (0.500, 0.500, 0.000), La at (0.000, 0.500, 0.500), Tb at (0.500, 0.000, 0.500), Se at (0.250, 0.000, 0.721) and Se at (0.269, 0.500, 0.283).

## Ho8OsAu2 (PBE)

Data for an optimized crystal structure of Ho8OsAu2.

The value obtained for the total moment is 0.000 μB per formula unit. Its formation enthalpy at 0 K is -416 meV/atom.

It has space group C2/m (No. 12), with a = 17.297 Å, b = 5.105 Å, c = 6.820 Å, α = 90.00°, β = 107.64° and γ = 90.00°. The asymmetric unit holds Ho at (0.029, 0.000, 0.296), Ho at (0.091, 0.500, 0.933), Ho at (0.161, 0.500, 0.466), Ho at (0.200, 0.000, 0.807), Os at (0.000, 0.500, 0.500) and Au at (0.184, 0.000, 0.212).